Here is an optimized crystal structure of DyMgTl from Alexandria. Energies are from PBE.

```
DyMgTl
1.0
-1.766 1.766 6.291
1.766 -1.766 6.291
1.766 1.766 -6.291
Dy Mg Tl
1 1 1
direct
0.000 0.000 0.000 Dy
0.681 0.681 0.000 Mg
0.328 0.328 0.000 Tl
```

Computed properties:
SG: I4mm, No. 107
Total magnetization in μB per atom: 0.11
Formation energy from the elements in eV per formula unit: -0.428
Final energy in eV per atom: -3.00

Here is an optimized crystal structure of Ba2MgW from Alexandria. Energies are from PBE.

```
Ba2MgW
1.0
6.398 -1.665 0.000
6.398 1.665 0.000
-1.803 0.000 5.955
Ba Mg W
2 1 1
direct
0.000 0.000 0.000 Ba
0.192 0.192 0.621 Ba
0.778 0.778 0.194 Mg
0.442 0.442 0.476 W
```

Computed properties:
SG: Cm, No. 8
Total magnetization in μB per atom: 0.00
Formation energy from the elements in eV per formula unit: 3.705
Final energy in eV per atom: -3.67

Here is an optimized crystal structure of U2CoGe4Ir3 from Alexandria. Energies are from PBE.

```
U2CoGe4Ir3
1.0
4.152 0.000 0.000
0.000 4.152 0.000
0.000 0.000 10.209
U Co Ge Ir
2 1 4 3
direct
0.000 0.500 0.250 U
0.500 0.000 0.750 U
0.000 0.000 0.500 Co
0.000 0.000 0.000 Ge
0.000 0.500 0.626 Ge
0.500 0.000 0.374 Ge
0.500 0.500 0.000 Ge
0.000 0.500 0.864 Ir
0.500 0.000 0.136 Ir
0.500 0.500 0.500 Ir
```

Computed properties:
SG: P-4m2, No. 115
Total magnetization in μB per atom: 0.42
Formation energy from the elements in eV per formula unit: -4.105
Final energy in eV per atom: -7.88

Here is an optimized crystal structure of BaSe2NF from Alexandria. Energies are from PBE.

```
BaSe2NF
1.0
4.519 0.000 0.000
0.000 4.519 0.000
0.000 0.000 5.407
Ba Se N F
1 2 1 1
direct
0.000 0.000 0.000 Ba
0.000 0.500 0.500 Se
0.500 0.000 0.500 Se
0.500 0.500 0.000 N
0.500 0.500 0.500 F
```

Computed properties:
SG: P4/mmm, No. 123
Energy relative to the elements, uncorrected in meV per atom: 38.7
Total magnetization in μB per atom: 0.47
Energy relative to the lowest polymorph listed for this composition in meV per atom: 0.0
Final energy in eV per atom: -3.78